No. 1
Compound: Hf2Tl2Cd
Source: the Alexandria database
Functional: PBE
Structure: optimized geometry

electronic total energy = -4.565 eV per atom
theoretical density = 11.12 g/cm³
space-group type = I4/mmm (139)
energy above the lowest structure with this stoichiometry = 26.9 kJ per mole of atoms
E_form = 0.546 eV per atom

a b c (Å): 4.3464 4.3464 7.5890
angles (deg): 73.36 73.36 90.00
With the nearest neighbours (Å) after each atom.
Sites, in units of the cell vectors:
Tl 0.3997 0.3997 0.2005  1 Tl 2.78, 4 Hf 3.01
Tl 0.6003 0.6003 0.7995  1 Tl 2.78, 4 Hf 3.01
Hf 0.7500 0.2500 0.5000  4 Tl 3.01, 4 Hf 3.07
Hf 0.2500 0.7500 0.5000  4 Tl 3.01, 4 Hf 3.07
Cd 0.0000 0.0000 0.0000  8 Tl 3.37

=====

No. 2
Compound: SrScCd2O4
Source: the Alexandria database
Functional: PBE
Structure: optimized geometry

electronic total energy = -5.692 eV per atom
theoretical density = 5.39 g/cm³
space-group type = I222 (23)
formation energy without anion corrections = -15.86 eV/f.u.

a b c (Å): 6.2200 5.5437 5.5437
angles (deg): 65.90 55.88 55.88
With the nearest neighbours (Å) after each atom.
Sites, in units of the cell vectors:
Sr 0.0000 0.0000 0.0000  8 O 2.71-3.03
Sc 0.5000 0.5000 0.5000  4 O 2.02
Cd 0.2159 0.2841 0.2841  4 O 2.25-2.37
Cd 0.7841 0.7159 0.7159  4 O 2.25-2.37
O 0.5107 0.1250 0.5115  1 Sc 2.02, 1 Cd 2.25
O 0.1472 0.8750 0.4885  1 Sc 2.02, 1 Cd 2.25
O 0.8528 0.5115 0.1250  1 Sc 2.02, 1 Cd 2.25
O 0.4893 0.4885 0.8750  1 Sc 2.02, 1 Cd 2.25

=====

No. 3
Compound: BePtO
Source: the Alexandria database
Functional: PBE
Structure: optimized geometry

electronic total energy = -4.814 eV per atom
theoretical density = 11.36 g/cm³
space-group type = P4/nmm (129)
formation energy without anion corrections = 0.28 eV/f.u.

a b c (Å): 2.8683 2.8683 7.8219
angles (deg): 90.00 90.00 90.00
With the nearest neighbours (Å) after each atom.
Sites, in units of the cell vectors:
Be 0.0000 0.5000 0.9274  5 Pt 2.29-2.34, 4 Be 2.32
Be 0.5000 0.0000 0.0726  5 Pt 2.29-2.34, 4 Be 2.32
O 0.0000 0.0000 0.5000  4 O 2.03
O 0.5000 0.5000 0.5000  4 O 2.03
Pt 0.0000 0.5000 0.2207  5 Be 2.29-2.34
Pt 0.5000 0.0000 0.7793  5 Be 2.29-2.34

=====

No. 4
Compound: TePHF
Source: the Alexandria database
Functional: PBE
Structure: optimized geometry

electronic total energy = -4.021 eV per atom
theoretical density = 3.53 g/cm³
space-group type = P1 (1)
energy above the lowest structure with this stoichiometry = 3.6 kJ per mole of atoms

a b c (Å): 3.4954 3.7986 6.7943
angles (deg): 105.42 104.48 90.57
With the nearest neighbours (Å) after each atom.
Sites, in units of the cell vectors:
Te 0.2185 0.1881 0.2554  1 P 2.48
P 0.2956 0.9589 0.5719  1 H 1.46
H 0.7088 0.8831 0.5886  1 P 1.46
F 0.3962 0.3358 0.7757  1 P 1.67